Entry 1:
The following is a DFT calculation (PBE) of an optimized crystal structure of SrLa2In2.

Summary:
ΔE_f, eV/atom: -0.372

Lattice parameters (Å, degrees): 9.1906 9.1906 4.1149 90.00 90.00 90.00
Sites, in units of the cell vectors:
Sr 0.0000 0.0000 0.0000
Sr 0.5000 0.5000 0.0000
La 0.1695 0.3305 0.5000
La 0.3305 0.8305 0.5000
La 0.6695 0.1695 0.5000
La 0.8305 0.6695 0.5000
In 0.1256 0.6256 0.0000
In 0.3744 0.1256 0.0000
In 0.6256 0.8744 0.0000
In 0.8744 0.3744 0.0000



Entry 2:
The following is a DFT calculation (PBE) of an optimized crystal structure of Er2BiSb.

Summary:
Energy relative to the elements, uncorrected, kcal/mol of atoms: -21.958

Lattice parameters (Å, degrees): 4.3947 4.3947 21.5702 90.00 90.00 120.00
Sites, in units of the cell vectors:
Er 0.0000 0.0000 0.2480
Er 0.0000 0.0000 0.7520
Er 0.3333 0.6667 0.4187
Er 0.3333 0.6667 0.9146
Er 0.6667 0.3333 0.0854
Er 0.6667 0.3333 0.5813
Bi 0.0000 0.0000 0.0000
Bi 0.3333 0.6667 0.6667
Bi 0.6667 0.3333 0.3333
Sb 0.0000 0.0000 0.5000
Sb 0.3333 0.6667 0.1667
Sb 0.6667 0.3333 0.8333



Entry 3:
The following is a DFT calculation (PBE) of an optimized crystal structure of Y6Tm12Mg.

Summary:
ΔE_f, eV/atom: 0.034

Lattice parameters (Å, degrees): 9.2776 9.2776 9.2776 110.94 110.94 110.94
Sites, in units of the cell vectors:
Y 0.0535 0.5817 0.3693
Y 0.3693 0.0535 0.5817
Y 0.4183 0.6307 0.9465
Y 0.5817 0.3693 0.0535
Y 0.6307 0.9465 0.4183
Y 0.9465 0.4183 0.6307
Tm 0.1034 0.1555 0.7350
Tm 0.1555 0.7350 0.1034
Tm 0.2119 0.3157 0.4731
Tm 0.2650 0.8966 0.8445
Tm 0.3157 0.4731 0.2119
Tm 0.4731 0.2119 0.3157
Tm 0.5269 0.7881 0.6843
Tm 0.6843 0.5269 0.7881
Tm 0.7350 0.1034 0.1555
Tm 0.7881 0.6843 0.5269
Tm 0.8445 0.2650 0.8966
Tm 0.8966 0.8445 0.2650
Mg 0.0000 0.0000 0.0000



Entry 4:
The following is a DFT calculation (PBE) of an optimized crystal structure of EuScGa.

Summary:
ΔE_f, eV/atom: -0.222

Lattice parameters (Å, degrees): 4.9145 4.9145 3.7575 90.00 90.00 120.00
Sites, in units of the cell vectors:
Eu 0.0000 0.0000 0.0000
Sc 0.3333 0.6667 0.4944
Ga 0.6667 0.3333 0.5120



The evaluated spin magnetization for the records listed, in turn: 0.00 0.00 0.00 7.17 μB/cell.